! PBE HfGaCoAg, relaxed; values from VASP
! Crystal system: cubic
! Size of the total moment: 0.005 μB/atom
! E above lowest polymorph: 122.9 meV/atom
&SYSTEM
  ibrav = 0, nat = 4, ntyp = 4
/
ATOMIC_SPECIES
Hf 178.49 Hf.upf
Ga 69.72 Ga.upf
Co 58.93 Co.upf
Ag 107.87 Ag.upf
CELL_PARAMETERS angstrom
-2.148 -3.512 1.783
-3.727 0.640 2.413
-3.979 -1.265 -1.641
ATOMIC_POSITIONS crystal
Hf 0.250 0.250 0.250
Ga 0.000 0.000 0.000
Co 0.750 0.750 0.750
Ag 0.500 0.500 0.500

***

! PBE HfGaCoAg, relaxed; values from VASP
! Crystal system: cubic
! Size of the total moment: 0.010 μB/atom
! E above lowest polymorph: 0.0 meV/atom
&SYSTEM
  ibrav = 0, nat = 4, ntyp = 4
/
ATOMIC_SPECIES
Hf 178.49 Hf.upf
Co 58.93 Co.upf
Ga 69.72 Ga.upf
Ag 107.87 Ag.upf
CELL_PARAMETERS angstrom
-1.942 -3.838 -1.236
-3.555 0.064 -2.718
0.382 -1.444 -4.219
ATOMIC_POSITIONS crystal
Hf 0.500 0.500 0.500
Co 0.750 0.750 0.750
Ga 0.000 0.000 0.000
Ag 0.250 0.250 0.250

***

! PBE GaCoAgHg, relaxed; values from VASP
! Crystal system: cubic
! Size of the total moment: 0.277 μB/atom
! E above lowest polymorph: 0.0 meV/atom
&SYSTEM
  ibrav = 0, nat = 4, ntyp = 4
/
ATOMIC_SPECIES
Ga 69.72 Ga.upf
Hg 200.59 Hg.upf
Co 58.93 Co.upf
Ag 107.87 Ag.upf
CELL_PARAMETERS angstrom
0.000 3.210 3.210
3.210 0.000 3.210
3.210 3.210 0.000
ATOMIC_POSITIONS crystal
Ga 0.000 0.000 0.000
Hg 0.500 0.500 0.500
Co 0.750 0.750 0.750
Ag 0.250 0.250 0.250

***

! PBE GaCoAgIr, relaxed; values from VASP
! Crystal system: cubic
! Size of the total moment: 0.319 μB/atom
! E above lowest polymorph: 0.0 meV/atom
&SYSTEM
  ibrav = 0, nat = 4, ntyp = 4
/
ATOMIC_SPECIES
Ir 192.22 Ir.upf
Ag 107.87 Ag.upf
Co 58.93 Co.upf
Ga 69.72 Ga.upf
CELL_PARAMETERS angstrom
0.000 3.068 3.068
3.068 0.000 3.068
3.068 3.068 0.000
ATOMIC_POSITIONS crystal
Ir 0.250 0.250 0.250
Ag 0.500 0.500 0.500
Co 0.750 0.750 0.750
Ga 0.000 0.000 0.000

***

! PBE GaCoAgOs, relaxed; values from VASP
! Crystal system: cubic
! Size of the total moment: 0.505 μB/atom
! E above lowest polymorph: 0.0 meV/atom
&SYSTEM
  ibrav = 0, nat = 4, ntyp = 4
/
ATOMIC_SPECIES
Ga 69.72 Ga.upf
Os 190.23 Os.upf
Ag 107.87 Ag.upf
Co 58.93 Co.upf
CELL_PARAMETERS angstrom
0.000 3.064 3.064
3.064 0.000 3.064
3.064 3.064 0.000
ATOMIC_POSITIONS crystal
Ga 0.000 0.000 0.000
Os 0.250 0.250 0.250
Ag 0.500 0.500 0.500
Co 0.750 0.750 0.750

***

! PBE GaCoAgPd, relaxed; values from VASP
! Crystal system: cubic
! Size of the total moment: 0.209 μB/atom
! E above lowest polymorph: 0.0 meV/atom
&SYSTEM
  ibrav = 0, nat = 4, ntyp = 4
/
ATOMIC_SPECIES
Co 58.93 Co.upf
Ga 69.72 Ga.upf
Ag 107.87 Ag.upf
Pd 106.42 Pd.upf
CELL_PARAMETERS angstrom
0.000 3.086 3.086
3.086 0.000 3.086
3.086 3.086 0.000
ATOMIC_POSITIONS crystal
Co 0.750 0.750 0.750
Ga 0.000 0.000 0.000
Ag 0.500 0.500 0.500
Pd 0.250 0.250 0.250

***

! PBE GaCoAgPt, relaxed; values from VASP
! Crystal system: cubic
! Size of the total moment: 0.015 μB/atom
! E above lowest polymorph: 0.0 meV/atom
&SYSTEM
  ibrav = 0, nat = 4, ntyp = 4
/
ATOMIC_SPECIES
Ag 107.87 Ag.upf
Pt 195.08 Pt.upf
Co 58.93 Co.upf
Ga 69.72 Ga.upf
CELL_PARAMETERS angstrom
0.202 -3.321 -2.839
-3.305 -2.852 -0.268
-2.588 -0.024 -3.526
ATOMIC_POSITIONS crystal
Ag 0.500 0.500 0.500
Pt 0.250 0.250 0.250
Co 0.750 0.750 0.750
Ga 0.000 0.000 0.000

***

! PBE Sc2Ga4CoAg, relaxed; values from VASP
! Crystal system: orthorhombic
! Size of the total moment: 0.001 μB/atom
! VASP energy: -4.778 eV/atom
&SYSTEM
  ibrav = 0, nat = 8, ntyp = 4
/
ATOMIC_SPECIES
Ga 69.72 Ga.upf
Sc 44.96 Sc.upf
Ag 107.87 Ag.upf
Co 58.93 Co.upf
CELL_PARAMETERS angstrom
-1.906 -5.317 3.390
4.975 -1.905 -0.191
4.273 0.478 3.152
ATOMIC_POSITIONS crystal
Ga 0.215 0.367 0.367
Ga 0.690 0.630 0.630
Sc 0.500 0.926 0.926
Ag 0.000 0.794 0.794
Ga 0.310 0.630 0.630
Ga 0.785 0.367 0.367
Sc 0.000 0.081 0.081
Co 0.500 0.204 0.204

***

! PBE TaGaCoAg, relaxed; values from VASP
! Crystal system: cubic
! Size of the total moment: 0.101 μB/atom
! E above lowest polymorph: 150.4 meV/atom
&SYSTEM
  ibrav = 0, nat = 4, ntyp = 4
/
ATOMIC_SPECIES
Ag 107.87 Ag.upf
Co 58.93 Co.upf
Ta 180.95 Ta.upf
Ga 69.72 Ga.upf
CELL_PARAMETERS angstrom
-3.516 -2.057 1.690
-3.333 -1.191 -2.630
-0.696 -4.264 -0.883
ATOMIC_POSITIONS crystal
Ag 0.500 0.500 0.500
Co 0.750 0.750 0.750
Ta 0.250 0.250 0.250
Ga 0.000 0.000 0.000

***

! PBE TaGaCoAg, relaxed; values from VASP
! Crystal system: cubic
! Size of the total moment: 0.000 μB/atom
! E above lowest polymorph: 0.0 meV/atom
&SYSTEM
  ibrav = 0, nat = 4, ntyp = 4
/
ATOMIC_SPECIES
Co 58.93 Co.upf
Ta 180.95 Ta.upf
Ga 69.72 Ga.upf
Ag 107.87 Ag.upf
CELL_PARAMETERS angstrom
0.000 3.116 3.116
3.116 0.000 3.116
3.116 3.116 0.000
ATOMIC_POSITIONS crystal
Co 0.750 0.750 0.750
Ta 0.500 0.500 0.500
Ga 0.000 0.000 0.000
Ag 0.250 0.250 0.250

***

Q: Which of these has the highest size of the total moment?
A: GaCoAgOs